[1]
This record from the Alexandria database describes Cd2Pt after structural relaxation. The functional is PBE-GGA.

Computed properties:
M_tot   0.000 μB per cell
Calculated total energy   -2.43 eV/atom

a = 7.7391 Å, b = 7.7391 Å, c = 7.7391 Å
α = 90.00°, β = 90.00°, γ = 90.00°
Space group Fd-3m (No. 227, origin choice 2)
One atom of each set of equivalent atoms:
Cd (0.0000, 0.0000, 0.0000)
Pt (0.1250, 0.1250, 0.6250)

=====

[2]
This record from the Alexandria database describes Cd2Pt after structural relaxation. The functional is PBE-GGA.

Computed properties:
M_tot   0.000 μB per cell
Calculated total energy   -2.81 eV/atom

a = 4.6790 Å, b = 4.6790 Å, c = 2.9537 Å
α = 90.00°, β = 90.00°, γ = 120.00°
Space group P-3m1 (No. 164)
One atom of each set of equivalent atoms:
Cd (0.3333, 0.6667, 0.1851)
Pt (0.0000, 0.0000, 0.5000)

=====

[3]
This record from the Alexandria database describes CdPt4 after structural relaxation. The functional is PBE-GGA.

Computed properties:
M_tot   0.000 μB per cell
Calculated total energy   -5.08 eV/atom
ΔE to the lowest computed polymorph   64 meV/atom

a = 9.7528 Å, b = 13.9956 Å, c = 4.8736 Å
α = 90.00°, β = 90.00°, γ = 90.00°
Space group Fdd2 (No. 43)
One atom of each set of equivalent atoms:
Cd (0.0000, 0.0000, 0.0000)
Pt (0.0013, 0.1011, 0.4995)
Pt (0.0008, 0.2014, 0.9985)